DFT (PBE) results for an optimized crystal structure of PmTePd2.

The crystal system is cubic. Its uncorrected formation energy is -69 kJ/mol of atoms.

The space group is Fm-3m (No. 225) and the conventional cell measures 6.978, 6.978 and 6.978 Å, with angles of 90.00, 90.00 and 90.00 degrees. The distinct sites, in fractional coordinates, are Pm at (0.000, 0.000, 0.000), Te at (0.000, 0.000, 0.500) and Pd at (0.250, 0.250, 0.250).



DFT (PBE) results for an optimized crystal structure of KTlSb2.

The crystal system is orthorhombic. Its uncorrected formation energy is -18 kJ/mol of atoms.

The space group is Imm2 (No. 44) and the conventional cell measures 4.200, 5.625 and 12.317 Å, with angles of 90.00, 90.00 and 90.00 degrees. The distinct sites, in fractional coordinates, are K at (0.000, 0.000, 0.000), Tl at (0.000, 0.500, 0.236), Sb at (0.000, 0.000, 0.412) and Sb at (0.000, 0.500, 0.750).



DFT (PBE) results for an optimized crystal structure of Ca2AlZn2.

The crystal system is tetragonal. The energy relative to the elements comes out at -0.21 eV per atom.

The space group is P4/mbm (No. 127) and the conventional cell measures 7.230, 7.230 and 4.528 Å, with angles of 90.00, 90.00 and 90.00 degrees. The distinct sites, in fractional coordinates, are Ca at (0.180, 0.320, 0.000), Al at (0.000, 0.000, 0.500) and Zn at (0.124, 0.624, 0.500).



DFT (PBE) results for an optimized crystal structure of SrCaRu2.

The crystal system is tetragonal. The energy relative to the elements comes out at 0.71 eV per atom.

The space group is I4/mmm (No. 139) and the conventional cell measures 4.437, 4.437 and 8.853 Å, with angles of 90.00, 90.00 and 90.00 degrees. The distinct sites, in fractional coordinates, are Sr at (0.000, 0.000, 0.000), Ca at (0.000, 0.000, 0.500) and Ru at (0.000, 0.500, 0.250).



DFT (PBE) results for an optimized crystal structure of BaMn2Si.

The crystal system is orthorhombic. Its uncorrected formation energy is 37 kJ/mol of atoms.

The space group is Imm2 (No. 44) and the conventional cell measures 3.553, 3.643 and 13.654 Å, with angles of 90.00, 90.00 and 90.00 degrees. The distinct sites, in fractional coordinates, are Ba at (0.000, 0.000, 0.000), Mn at (0.000, 0.000, 0.343), Mn at (0.000, 0.500, 0.210) and Si at (0.000, 0.500, 0.725).



DFT (PBE) results for an optimized crystal structure of Ca3Sn3Au2.

The crystal system is orthorhombic. The energy relative to the elements comes out at -0.66 eV per atom.

The space group is Pnma (No. 62) and the conventional cell measures 8.696, 16.202 and 5.999 Å, with angles of 90.00, 90.00 and 90.00 degrees. The distinct sites, in fractional coordinates, are Ca at (0.038, 0.113, 0.120), Ca at (0.181, 0.250, 0.627), Sn at (0.180, 0.750, 0.627), Sn at (0.201, 0.035, 0.612) and Au at (0.081, 0.615, 0.380).



DFT (PBE) results for an optimized crystal structure of NaPrSeS.

The crystal system is trigonal. Its uncorrected formation energy is -166 kJ/mol of atoms.

The space group is R3m (No. 160, hexagonal axes) and the conventional cell measures 4.2383, 4.2383 and 20.6019 Å, with angles of 90.00, 90.00 and 120.00 degrees. The distinct sites, in fractional coordinates, are Na at (0.0000, 0.0000, 0.0000), Pr at (0.0000, 0.0000, 0.4946), Se at (0.0000, 0.0000, 0.2450) and S at (0.0000, 0.0000, 0.7544).



DFT (PBE) results for an optimized crystal structure of Tb2Dy6Mg.

The crystal system is monoclinic. The energy relative to the elements comes out at 0.15 eV per atom.

The space group is C2/m (No. 12) and the conventional cell measures 9.790, 7.040 and 8.616 Å, with angles of 90.00, 104.09 and 90.00 degrees. The distinct sites, in fractional coordinates, are Tb at (0.241, 0.000, 0.490), Dy at (0.043, 0.256, 0.706), Dy at (0.176, 0.500, 0.074) and Mg at (0.000, 0.000, 0.000).



DFT (PBE) results for an optimized crystal structure of Ta2PtCl.

The crystal system is orthorhombic. Its uncorrected formation energy is 8 kJ/mol of atoms.

The space group is Cmmm (No. 65) and the conventional cell measures 3.219, 4.776 and 8.996 Å, with angles of 90.00, 90.00 and 90.00 degrees. The distinct sites, in fractional coordinates, are Ta at (0.000, 0.000, 0.249), Pt at (0.000, 0.500, 0.000) and Cl at (0.000, 0.500, 0.500).



DFT (PBE) results for an optimized crystal structure of SrPmPdAu.

The crystal system is cubic. The energy relative to the elements comes out at -0.67 eV per atom.

The space group is F-43m (No. 216) and the conventional cell measures 7.401, 7.401 and 7.401 Å, with angles of 90.00, 90.00 and 90.00 degrees. The distinct sites, in fractional coordinates, are Sr at (0.000, 0.000, 0.000), Pm at (0.000, 0.000, 0.500), Pd at (0.250, 0.250, 0.250) and Au at (0.250, 0.250, 0.750).



DFT (PBE) results for an optimized crystal structure of ErTm5Al4.

The crystal system is tetragonal. The energy relative to the elements comes out at -0.31 eV per atom.

The space group is P4/mmm (No. 123) and the conventional cell measures 3.521, 3.521 and 19.445 Å, with angles of 90.00, 90.00 and 90.00 degrees. The distinct sites, in fractional coordinates, are Er at (0.000, 0.000, 0.000), Tm at (0.500, 0.500, 0.127), Tm at (0.500, 0.500, 0.315), Tm at (0.500, 0.500, 0.500), Al at (0.000, 0.000, 0.221) and Al at (0.000, 0.000, 0.407).



DFT (PBE) results for an optimized crystal structure of RbSn2PbBr8.

The crystal system is triclinic. Its uncorrected formation energy is -85 kJ/mol of atoms.

The space group is P-1 (No. 2) and the conventional cell measures 6.986, 7.306 and 9.095 Å, with angles of 89.88, 89.89 and 88.51 degrees. The distinct sites, in fractional coordinates, are Rb at (0.000, 0.000, 0.000), Sn at (0.499, 0.500, 0.254), Pb at (0.000, 0.000, 0.500), Br at (0.261, 0.824, 0.725), Br at (0.262, 0.340, 0.500), Br at (0.262, 0.824, 0.275) and Br at (0.288, 0.370, 0.001).



Number 1: total magnetic moment 0.0 μB/f.u.. Number 2: total magnetic moment 0.0 μB/f.u.. Number 3: total magnetic moment 0.0 μB/f.u.. Number 4: total magnetic moment 2.2 μB/f.u.. Number 5: total magnetic moment 6.1 μB/f.u.. Number 6: total magnetic moment 0.0 μB/f.u.. Number 7: total magnetic moment 0.0 μB/f.u.. Number 8: total magnetic moment 0.0 μB/f.u.. Number 9: total magnetic moment 0.0 μB/f.u.. Number 10: total magnetic moment 0.0 μB/f.u.. Number 11: total magnetic moment 0.0 μB/f.u.. Number 12: total magnetic moment 0.0 μB/f.u..